## CaHoZnCu (PBE-GGA)

Data for a relaxed CaHoZnCu crystal.

Cell: 3.5537 3.5537 7.1497 Å, 90.00 90.00 90.00°
Fractional coordinates of all 4 atoms:
Ca 0.5000 0.5000 0.1026
Ho 0.5000 0.5000 0.6182
Zn 0.0000 0.0000 0.3797
Cu 0.0000 0.0000 0.8274

## Properties
Total moment in μB/f.u.: 0.0
D(E_F) in states/eV/f.u.: 3.25
ΔH_f (0 K) in eV per atom: -0.230
Energy above the lowest structure with this stoichiometry in meV per atom: 0
Space group: P4mm